Entry 1:
YTm2Sn, optimized geometry, DFT PBE; calculated volume = 121 Å³ per cell; relative energy among the computed polymorphs = 0.453 eV per atom; energy of formation from the pure elements = 26 meV per atom; DFT total energy = -19.31 eV per cell; theoretical density = 7.51 g/cm3; crystal system = trigonal
1.0
-3.2839 -0.9450 0.5351
-0.7662 -3.3150 0.6223
-0.0180 0.4150 11.8009
Tm Y Sn
2 1 1
direct
0.0953 0.0953 0.7141 Tm
0.9047 0.9047 0.2859 Tm
0.0000 0.0000 0.0000 Y
0.5000 0.5000 0.5000 Sn

---

Entry 2:
YRh2Se, optimized geometry, DFT PBE; calculated volume = 76 Å³ per cell; DFT total energy = -26.80 eV per cell; formation energy from raw total energies = -0.54 eV per atom; theoretical density = 8.17 g/cm3; crystal system = trigonal
1.0
-1.1790 4.9789 -1.3561
-2.7588 3.7663 2.4944
1.4636 4.6491 2.0645
Y Rh Se
1 2 1
direct
0.7500 0.7500 0.7500 Y
0.9598 0.9598 0.9598 Rh
0.5402 0.5402 0.5402 Rh
0.2500 0.2500 0.2500 Se